[1]
This record from Alexandria via LeMat-Bulk describes a relaxed La5Sb2Ir crystal. The functional is PBE.

Cell and atoms, written as POSCAR:
```
La5Sb2Ir
1.0
3.158 -6.334 0.000
3.158 6.334 0.000
0.000 0.000 15.100
La Sb Ir
10 4 2
Direct
0.062 0.938 0.622 La
0.062 0.938 0.878 La
0.295 0.705 0.250 La
0.355 0.645 0.601 La
0.355 0.645 0.899 La
0.645 0.355 0.101 La
0.645 0.355 0.399 La
0.705 0.295 0.750 La
0.938 0.062 0.122 La
0.938 0.062 0.378 La
0.184 0.816 0.063 Sb
0.184 0.816 0.437 Sb
0.816 0.184 0.563 Sb
0.816 0.184 0.937 Sb
0.218 0.782 0.750 Ir
0.782 0.218 0.250 Ir
```

Computed properties:
- energy relative to the elements, uncorrected (eV/atom) = -0.622
- distance to the lowest polymorph of the same formula (meV per atom) = 328
- spin magnetization (μB per formula unit) = 0.0

[2]
This record from Alexandria via LeMat-Bulk describes a relaxed Ca4H12Rh3 crystal. The functional is PBE.

Cell and atoms, written as POSCAR:
```
Ca4H12Rh3
1.0
-3.633 3.633 3.633
3.633 -3.633 3.633
3.633 3.633 -3.633
Ca H Rh
4 12 3
Direct
0.000 0.000 0.500 Ca
0.000 0.500 0.000 Ca
0.500 0.000 0.000 Ca
0.500 0.500 0.500 Ca
0.000 0.264 0.264 H
0.000 0.736 0.736 H
0.250 0.500 0.750 H
0.250 0.750 0.500 H
0.264 0.000 0.264 H
0.264 0.264 0.000 H
0.500 0.250 0.750 H
0.500 0.750 0.250 H
0.736 0.000 0.736 H
0.736 0.736 0.000 H
0.750 0.250 0.500 H
0.750 0.500 0.250 H
0.000 0.500 0.500 Rh
0.500 0.000 0.500 Rh
0.500 0.500 0.000 Rh
```

Computed properties:
- spin magnetization (μB per formula unit) = 0.0

[3]
This record from Alexandria via LeMat-Bulk describes a relaxed Ce3PrMn crystal. The functional is PBE.

Cell and atoms, written as POSCAR:
```
Ce3PrMn
1.0
5.190 0.000 0.000
0.000 5.190 0.000
0.000 0.000 5.190
Ce Pr Mn
3 1 1
Direct
0.000 0.000 0.500 Ce
0.000 0.500 0.000 Ce
0.500 0.000 0.000 Ce
0.500 0.500 0.500 Pr
0.000 0.000 0.000 Mn
```

Computed properties:
- energy relative to the elements (kJ/mol of formula units) = 74
- spin magnetization (μB per formula unit) = 0.0

[4]
This record from Alexandria via LeMat-Bulk describes a relaxed Na2GaAgBr6 crystal. The functional is PBE.

Cell and atoms, written as POSCAR:
```
Na2GaAgBr6
1.0
0.000 5.355 5.355
5.355 0.000 5.355
5.355 5.355 0.000
Na Ga Ag Br
2 1 1 6
Direct
0.250 0.250 0.250 Na
0.750 0.750 0.750 Na
0.000 0.000 0.000 Ga
0.500 0.500 0.500 Ag
0.240 0.240 0.760 Br
0.240 0.760 0.240 Br
0.240 0.760 0.760 Br
0.760 0.240 0.240 Br
0.760 0.240 0.760 Br
0.760 0.760 0.240 Br
```

Computed properties:
- energy relative to the elements, uncorrected (eV/atom) = -0.835
- spin magnetization (μB per formula unit) = 0.0

Number 1: E -93.4 eV/cell. Number 2: E -81.8 eV/cell. Number 3: E -31.0 eV/cell. Number 4: E -26.9 eV/cell.